No. 1
The following is a DFT calculation (PBE-GGA) of an optimized crystal structure of HfCdInCu.

The polymorph energy (0 for the lowest one) is 0 meV per atom. Its total magnetic moment is 0.00 μB/f.u.

The space group is F-43m (No. 216) and the conventional cell measures 6.7224, 6.7224 and 6.7224 Å, with angles of 90.00, 90.00 and 90.00 degrees. The inequivalent atoms are Hf at (0.0000, 0.0000, 0.0000), Cd at (0.2500, 0.2500, 0.2500), In at (0.0000, 0.0000, 0.5000) and Cu at (0.2500, 0.2500, 0.7500).

---

No. 2
The following is a DFT calculation (PBE-GGA) of an optimized crystal structure of AcCdPt4.

Its total magnetic moment is 0.00 μB/f.u. The formation energy from the elements comes out at -0.78 eV/atom.

The space group is F-43m (No. 216) and the conventional cell measures 7.8128, 7.8128 and 7.8128 Å, with angles of 90.00, 90.00 and 90.00 degrees. The inequivalent atoms are Ac at (0.0000, 0.0000, 0.0000), Cd at (0.2500, 0.2500, 0.7500) and Pt at (0.1241, 0.1241, 0.3759).